BaLaAs2S | Alexandria | PBE | optimized geometry; E_tot = -4.25 eV/atom; ΔE_f (raw) = -0.199 eV/atom; symmetry = P4/mmm, No. 123
1.0
-1.232 4.815 -1.737
-5.058 -0.625 1.854
1.446 2.041 4.633
S As Ba La
1 2 1 1
Direct
0.000 0.000 0.000
0.000 0.000 0.500
0.500 0.000 0.000
0.000 0.500 0.000
0.500 0.500 0.500